Entry 1:
SmCoCl: relaxed, GGA-PBE.

Computed properties:
spin magnetization	0.28	μB/f.u.
density	5.5	Mg/m³
formation energy without anion corrections	-1.140	eV/atom

CIF file:
```
data_SmCoCl
_space_group_name_H-M_alt 'P 1'
_space_group_IT_number 1
_cell_length_a 3.937
_cell_length_b 3.937
_cell_length_c 11.206
_cell_angle_alpha 80.14
_cell_angle_beta 79.88
_cell_angle_gamma 60.00
loop_
_space_group_symop_operation_xyz
'x,y,z'
loop_
_atom_site_label
_atom_site_type_symbol
_atom_site_fract_x
_atom_site_fract_y
_atom_site_fract_z
Co1 Co 0.769 0.455 0.006
Co2 Co 0.436 0.122 0.006
Cl1 Cl 0.321 0.015 0.343
Cl2 Cl 0.551 0.229 0.669
Sm1 Sm 0.043 0.733 0.181
Sm2 Sm 0.163 0.844 0.831
```

Entry 2:
Nb14VW: relaxed, GGA-PBE.

Computed properties:
spin magnetization	0.00	μB/f.u.
density	8.9	Mg/m³
energy relative to the elements	-0.012	eV per atom

CIF file:
```
data_Nb14VW
_space_group_name_H-M_alt 'P 1'
_space_group_IT_number 1
_cell_length_a 6.581
_cell_length_b 6.581
_cell_length_c 6.590
_cell_angle_alpha 90.00
_cell_angle_beta 90.00
_cell_angle_gamma 90.00
loop_
_space_group_symop_operation_xyz
'x,y,z'
loop_
_atom_site_label
_atom_site_type_symbol
_atom_site_fract_x
_atom_site_fract_y
_atom_site_fract_z
Nb1 Nb 0.875 0.375 0.500
Nb2 Nb 0.125 0.625 0.746
Nb3 Nb 0.375 0.875 0.500
Nb4 Nb 0.625 0.625 0.255
Nb5 Nb 0.625 0.625 0.745
Nb6 Nb 0.625 0.125 0.254
Nb7 Nb 0.375 0.375 0.000
Nb8 Nb 0.125 0.125 0.745
Nb9 Nb 0.125 0.125 0.255
Nb10 Nb 0.125 0.625 0.254
Nb11 Nb 0.375 0.875 0.000
Nb12 Nb 0.875 0.375 0.000
Nb13 Nb 0.875 0.875 0.000
Nb14 Nb 0.625 0.125 0.746
V1 V 0.875 0.875 0.500
W1 W 0.375 0.375 0.500
```

Entry 3:
RuPtSe2: relaxed, GGA-PBE.

Computed properties:
relative energy among the computed polymorphs	0.0	kJ/mol of atoms
spin magnetization	0.00	μB/f.u.
density	8.1	Mg/m³
formation energy without anion corrections	-0.078	eV/atom

CIF file:
```
data_RuPtSe2
_space_group_name_H-M_alt 'P 1'
_space_group_IT_number 1
_cell_length_a 3.960
_cell_length_b 3.965
_cell_length_c 6.295
_cell_angle_alpha 109.08
_cell_angle_beta 90.00
_cell_angle_gamma 90.00
loop_
_space_group_symop_operation_xyz
'x,y,z'
loop_
_atom_site_label
_atom_site_type_symbol
_atom_site_fract_x
_atom_site_fract_y
_atom_site_fract_z
Ru1 Ru 0.500 0.874 0.624
Pt1 Pt 0.000 0.376 0.627
Se1 Se 0.500 0.242 0.369
Se2 Se 0.000 0.008 0.880
```

Entry 4:
SrZn2W: relaxed, GGA-PBE.

Computed properties:
relative energy among the computed polymorphs	7.1	kJ/mol of atoms
spin magnetization	0.00	μB/f.u.
density	8.8	Mg/m³
energy relative to the elements	0.448	eV per atom

CIF file:
```
data_SrZn2W
_space_group_name_H-M_alt 'P 1'
_space_group_IT_number 1
_cell_length_a 2.965
_cell_length_b 2.965
_cell_length_c 8.670
_cell_angle_alpha 90.00
_cell_angle_beta 90.00
_cell_angle_gamma 90.27
loop_
_space_group_symop_operation_xyz
'x,y,z'
loop_
_atom_site_label
_atom_site_type_symbol
_atom_site_fract_x
_atom_site_fract_y
_atom_site_fract_z
Sr1 Sr 0.500 0.500 0.250
W1 W 0.500 0.500 0.750
Zn1 Zn 0.000 0.000 0.537
Zn2 Zn 0.000 0.000 0.963
```

Entry 5:
K2TlSi: relaxed, GGA-PBE.

Computed properties:
relative energy among the computed polymorphs	22.9	kJ/mol of atoms
spin magnetization	0.00	μB/f.u.
density	4.1	Mg/m³
formation energy without anion corrections	0.346	eV/atom

CIF file:
```
data_K2TlSi
_space_group_name_H-M_alt 'P 1'
_space_group_IT_number 1
_cell_length_a 5.446
_cell_length_b 3.512
_cell_length_c 7.522
_cell_angle_alpha 61.35
_cell_angle_beta 90.00
_cell_angle_gamma 90.00
loop_
_space_group_symop_operation_xyz
'x,y,z'
loop_
_atom_site_label
_atom_site_type_symbol
_atom_site_fract_x
_atom_site_fract_y
_atom_site_fract_z
K1 K 0.000 0.515 0.483
K2 K 0.000 0.985 0.017
Tl1 Tl 0.500 0.750 0.750
Si1 Si 0.500 0.250 0.250
```

Entry 6:
NpRe: relaxed, GGA-PBE.

Computed properties:
spin magnetization	0.00	μB/f.u.
density	20.9	Mg/m³
energy relative to the elements	0.111	eV per atom

CIF file:
```
data_NpRe
_space_group_name_H-M_alt 'P 1'
_space_group_IT_number 1
_cell_length_a 3.222
_cell_length_b 3.222
_cell_length_c 6.469
_cell_angle_alpha 90.00
_cell_angle_beta 90.00
_cell_angle_gamma 90.00
loop_
_space_group_symop_operation_xyz
'x,y,z'
loop_
_atom_site_label
_atom_site_type_symbol
_atom_site_fract_x
_atom_site_fract_y
_atom_site_fract_z
Re1 Re 0.750 0.250 0.386
Re2 Re 0.250 0.750 0.614
Np1 Np 0.750 0.250 0.910
Np2 Np 0.250 0.750 0.090
```

Entry 7:
Li2Ca2BiPd5: relaxed, GGA-PBE.

Computed properties:
spin magnetization	0.00	μB/f.u.
density	7.6	Mg/m³
energy relative to the elements	-0.571	eV per atom

CIF file:
```
data_Li2Ca2BiPd5
_space_group_name_H-M_alt 'P 1'
_space_group_IT_number 1
_cell_length_a 3.820
_cell_length_b 9.748
_cell_length_c 9.748
_cell_angle_alpha 90.00
_cell_angle_beta 90.00
_cell_angle_gamma 90.00
loop_
_space_group_symop_operation_xyz
'x,y,z'
loop_
_atom_site_label
_atom_site_type_symbol
_atom_site_fract_x
_atom_site_fract_y
_atom_site_fract_z
Pd1 Pd 0.500 0.783 0.932
Pd2 Pd 0.500 0.932 0.217
Pd3 Pd 0.500 0.500 0.000
Pd4 Pd 0.500 0.283 0.568
Pd5 Pd 0.500 0.568 0.717
Pd6 Pd 0.500 0.217 0.068
Pd7 Pd 0.500 0.068 0.783
Pd8 Pd 0.500 0.000 0.500
Pd9 Pd 0.500 0.432 0.283
Pd10 Pd 0.500 0.717 0.432
Bi1 Bi 0.000 0.500 0.500
Bi2 Bi 0.000 0.000 0.000
Ca1 Ca 0.000 0.821 0.679
Ca2 Ca 0.000 0.179 0.321
Ca3 Ca 0.000 0.321 0.821
Ca4 Ca 0.000 0.679 0.179
Li1 Li 0.000 0.882 0.382
Li2 Li 0.000 0.382 0.118
Li3 Li 0.000 0.618 0.882
Li4 Li 0.000 0.118 0.618
```

Entry 8:
KRhSe2: relaxed, GGA-PBE.

Computed properties:
spin magnetization	0.00	μB/f.u.
density	5.9	Mg/m³
formation energy without anion corrections	0.430	eV/atom

CIF file:
```
data_KRhSe2
_space_group_name_H-M_alt 'P 1'
_space_group_IT_number 1
_cell_length_a 4.934
_cell_length_b 4.934
_cell_length_c 4.934
_cell_angle_alpha 60.00
_cell_angle_beta 60.00
_cell_angle_gamma 60.00
loop_
_space_group_symop_operation_xyz
'x,y,z'
loop_
_atom_site_label
_atom_site_type_symbol
_atom_site_fract_x
_atom_site_fract_y
_atom_site_fract_z
Se1 Se 0.000 0.000 0.000
Se2 Se 0.250 0.250 0.250
Rh1 Rh 0.750 0.750 0.750
K1 K 0.500 0.500 0.500
```

Entry 9:
CeSm2DyCo2: relaxed, GGA-PBE.

Computed properties:
spin magnetization	0.00	μB/f.u.
density	8.2	Mg/m³
energy relative to the elements	-0.108	eV per atom

CIF file:
```
data_CeSm2DyCo2
_space_group_name_H-M_alt 'P 1'
_space_group_IT_number 1
_cell_length_a 6.689
_cell_length_b 6.820
_cell_length_c 7.990
_cell_angle_alpha 115.26
_cell_angle_beta 114.74
_cell_angle_gamma 90.00
loop_
_space_group_symop_operation_xyz
'x,y,z'
loop_
_atom_site_label
_atom_site_type_symbol
_atom_site_fract_x
_atom_site_fract_y
_atom_site_fract_z
Dy1 Dy 0.250 0.000 0.000
Dy2 Dy 0.750 0.000 0.000
Sm1 Sm 0.800 0.508 0.600
Sm2 Sm 0.200 0.492 0.400
Sm3 Sm 0.300 0.092 0.600
Sm4 Sm 0.700 0.908 0.400
Ce1 Ce 0.750 0.500 0.000
Ce2 Ce 0.250 0.500 0.000
Co1 Co 0.594 0.379 0.187
Co2 Co 0.406 0.621 0.813
Co3 Co 0.094 0.808 0.187
Co4 Co 0.906 0.192 0.813
```

Entry 10:
CaAlMo3: relaxed, GGA-PBE.

Computed properties:
relative energy among the computed polymorphs	0.0	kJ/mol of atoms
spin magnetization	0.00	μB/f.u.
density	5.6	Mg/m³
energy relative to the elements	1.340	eV per atom

CIF file:
```
data_CaAlMo3
_space_group_name_H-M_alt 'P 1'
_space_group_IT_number 1
_cell_length_a 4.713
_cell_length_b 4.713
_cell_length_c 4.713
_cell_angle_alpha 90.00
_cell_angle_beta 90.00
_cell_angle_gamma 90.00
loop_
_space_group_symop_operation_xyz
'x,y,z'
loop_
_atom_site_label
_atom_site_type_symbol
_atom_site_fract_x
_atom_site_fract_y
_atom_site_fract_z
Mo1 Mo 0.000 0.500 0.000
Mo2 Mo 0.500 0.000 0.000
Mo3 Mo 0.000 0.000 0.500
Al1 Al 0.000 0.000 0.000
Ca1 Ca 0.500 0.500 0.500
```

Entry 11:
RbPaAu2: relaxed, GGA-PBE.

Computed properties:
relative energy among the computed polymorphs	9.3	kJ/mol of atoms
spin magnetization	0.01	μB/f.u.
density	9.1	Mg/m³
energy relative to the elements	-0.057	eV per atom

CIF file:
```
data_RbPaAu2
_space_group_name_H-M_alt 'P 1'
_space_group_IT_number 1
_cell_length_a 4.088
_cell_length_b 4.088
_cell_length_c 9.227
_cell_angle_alpha 77.20
_cell_angle_beta 77.20
_cell_angle_gamma 60.00
loop_
_space_group_symop_operation_xyz
'x,y,z'
loop_
_atom_site_label
_atom_site_type_symbol
_atom_site_fract_x
_atom_site_fract_y
_atom_site_fract_z
Pa1 Pa 0.000 0.000 0.000
Rb1 Rb 0.500 0.500 0.500
Au1 Au 0.730 0.730 0.810
Au2 Au 0.270 0.270 0.190
```

Entry 12:
LiScP2: relaxed, GGA-PBE.

Computed properties:
relative energy among the computed polymorphs	6.2	kJ/mol of atoms
spin magnetization	0.00	μB/f.u.
density	2.6	Mg/m³
energy relative to the elements	-0.758	eV per atom

CIF file:
```
data_LiScP2
_space_group_name_H-M_alt 'P 1'
_space_group_IT_number 1
_cell_length_a 3.623
_cell_length_b 3.572
_cell_length_c 5.670
_cell_angle_alpha 88.68
_cell_angle_beta 90.00
_cell_angle_gamma 90.00
loop_
_space_group_symop_operation_xyz
'x,y,z'
loop_
_atom_site_label
_atom_site_type_symbol
_atom_site_fract_x
_atom_site_fract_y
_atom_site_fract_z
P1 P 0.000 0.764 0.056
P2 P 0.000 0.736 0.444
Sc1 Sc 0.500 0.250 0.250
Li1 Li 0.500 0.750 0.750
```